Entry w
# CoTc2Mo

A PBEsol-optimized structure of CoTc2Mo (meta-GGA SCAN, Alexandria via LeMat-Bulk).

M_tot   1.01 μB/f.u.
D(E_F)   0.89 states/eV/atom
Calculated volume   52.95 Å³/cell
Space group   P4/mmm

Cell: 3.745 3.745 3.775 Å, 90.00 90.00 90.00°
Fractional positions:
Co  0.000  0.000  0.000
Tc  0.000  0.500  0.500
Tc  0.500  0.000  0.500
Mo  0.500  0.500  0.000



Entry x
# CoTc2Mo

A PBEsol-optimized structure of CoTc2Mo (meta-GGA SCAN, Alexandria via LeMat-Bulk).

M_tot   2.50 μB/f.u.
D(E_F)   0.94 states/eV/atom
Calculated volume   216.94 Å³/cell
Space group   Fm-3m

Cell: 6.009 6.009 6.009 Å, 90.00 90.00 90.00°
Fractional positions:
Co  0.000  0.000  0.000
Co  0.000  0.500  0.500
Co  0.500  0.000  0.500
Co  0.500  0.500  0.000
Tc  0.250  0.250  0.250
Tc  0.250  0.250  0.750
Tc  0.250  0.750  0.250
Tc  0.250  0.750  0.750
Tc  0.750  0.250  0.250
Tc  0.750  0.250  0.750
Tc  0.750  0.750  0.250
Tc  0.750  0.750  0.750
Mo  0.000  0.000  0.500
Mo  0.000  0.500  0.000
Mo  0.500  0.000  0.000
Mo  0.500  0.500  0.500



Entry y
# CoTc2Mo

A PBEsol-optimized structure of CoTc2Mo (meta-GGA SCAN, Alexandria via LeMat-Bulk).

M_tot   2.43 μB/f.u.
D(E_F)   0.88 states/eV/atom
Calculated volume   217.13 Å³/cell
Space group   F-43m

Cell: 6.010 6.010 6.010 Å, 90.00 90.00 90.00°
Fractional positions:
Co  0.000  0.000  0.000
Co  0.000  0.500  0.500
Co  0.500  0.000  0.500
Co  0.500  0.500  0.000
Tc  0.000  0.000  0.500
Tc  0.000  0.500  0.000
Tc  0.250  0.250  0.250
Tc  0.250  0.750  0.750
Tc  0.500  0.000  0.000
Tc  0.500  0.500  0.500
Tc  0.750  0.250  0.750
Tc  0.750  0.750  0.250
Mo  0.250  0.250  0.750
Mo  0.250  0.750  0.250
Mo  0.750  0.250  0.250
Mo  0.750  0.750  0.750



Entry z
# CoTc2Mo

A PBEsol-optimized structure of CoTc2Mo (meta-GGA SCAN, Alexandria via LeMat-Bulk).

M_tot   1.31 μB/f.u.
D(E_F)   0.96 states/eV/atom
Calculated volume   53.69 Å³/cell
Space group   Pmmm

Cell: 2.677 3.667 5.469 Å, 90.00 90.00 90.00°
Fractional positions:
Co  0.000  0.000  0.000
Tc  0.500  0.500  0.225
Tc  0.500  0.500  0.775
Mo  0.000  0.000  0.500



Which structure is the most stable? The one labeled entry w.



Entry w
# Co2MoW

A PBEsol-optimized structure of Co2MoW (meta-GGA SCAN, Alexandria via LeMat-Bulk).

M_tot   0.00 μB/f.u.
D(E_F)   0.51 states/eV/atom
Calculated volume   100.61 Å³/cell
Space group   I4/mmm

Cell: 3.710 3.710 7.309 Å, 90.00 90.00 90.00°
Fractional positions:
Co  0.000  0.500  0.250
Co  0.000  0.500  0.750
Co  0.500  0.000  0.250
Co  0.500  0.000  0.750
Mo  0.000  0.000  0.000
Mo  0.500  0.500  0.500
W  0.000  0.000  0.500
W  0.500  0.500  0.000



Entry x
# Co2MoW

A PBEsol-optimized structure of Co2MoW (meta-GGA SCAN, Alexandria via LeMat-Bulk).

M_tot   4.49 μB/f.u.
D(E_F)   0.75 states/eV/atom
Calculated volume   207.46 Å³/cell
Space group   Fm-3m

Cell: 5.920 5.920 5.920 Å, 90.00 90.00 90.00°
Fractional positions:
Co  0.250  0.250  0.250
Co  0.250  0.250  0.750
Co  0.250  0.750  0.250
Co  0.250  0.750  0.750
Co  0.750  0.250  0.250
Co  0.750  0.250  0.750
Co  0.750  0.750  0.250
Co  0.750  0.750  0.750
Mo  0.000  0.000  0.000
Mo  0.000  0.500  0.500
Mo  0.500  0.000  0.500
Mo  0.500  0.500  0.000
W  0.000  0.000  0.500
W  0.000  0.500  0.000
W  0.500  0.000  0.000
W  0.500  0.500  0.500



Which structure is the most stable? The one labeled entry w.



Entry w
# Co2MoW

A PBEsol-optimized structure of Co2MoW (meta-GGA SCAN, Alexandria via LeMat-Bulk).

M_tot   0.00 μB/f.u.
D(E_F)   0.91 states/eV/atom
Calculated volume   51.20 Å³/cell
Space group   P4mm

Cell: 3.066 3.066 5.447 Å, 90.00 90.00 90.00°
Fractional positions:
Co  0.000  0.000  0.000
Co  0.500  0.500  0.248
Mo  0.000  0.000  0.467
W  0.500  0.500  0.779



Entry x
# Co2MoW

A PBEsol-optimized structure of Co2MoW (meta-GGA SCAN, Alexandria via LeMat-Bulk).

M_tot   0.00 μB/f.u.
D(E_F)   0.48 states/eV/atom
Calculated volume   50.31 Å³/cell
Space group   Pmmm

Cell: 2.620 3.653 5.256 Å, 90.00 90.00 90.00°
Fractional positions:
Co  0.000  0.000  0.249
Co  0.000  0.000  0.751
Mo  0.500  0.500  0.000
W  0.500  0.500  0.500



Entry y
# Co2MoW

A PBEsol-optimized structure of Co2MoW (meta-GGA SCAN, Alexandria via LeMat-Bulk).

M_tot   0.00 μB/f.u.
D(E_F)   0.89 states/eV/atom
Calculated volume   50.25 Å³/cell
Space group   Pmm2

Cell: 2.624 4.230 4.527 Å, 90.00 90.00 90.00°
Fractional positions:
Co  0.000  0.000  0.000
Co  0.000  0.500  0.344
Mo  0.500  0.000  0.484
W  0.500  0.500  0.856



Which structure is the most stable? The one labeled entry x.



Entry w
# ZnCoMo

A PBEsol-optimized structure of ZnCoMo (meta-GGA SCAN, Alexandria via LeMat-Bulk).

M_tot   0.96 μB/f.u.
D(E_F)   0.60 states/eV/atom
Calculated volume   76.08 Å³/cell
Space group   I4mm

Cell: 2.692 2.692 10.497 Å, 90.00 90.00 90.00°
Fractional positions:
Zn  0.000  0.000  0.000
Zn  0.500  0.500  0.500
Co  0.000  0.000  0.347
Co  0.500  0.500  0.847
Mo  0.000  0.000  0.690
Mo  0.500  0.500  0.190



Entry x
# ZnCoMo

A PBEsol-optimized structure of ZnCoMo (meta-GGA SCAN, Alexandria via LeMat-Bulk).

M_tot   1.47 μB/f.u.
D(E_F)   0.71 states/eV/atom
Calculated volume   39.29 Å³/cell
Space group   P3m1

Cell: 2.663 2.663 6.395 Å, 90.00 90.00 120.00°
Fractional positions:
Zn  0.000  0.000  0.000
Co  0.333  0.667  0.682
Mo  0.667  0.333  0.370



Which structure is the most stable? The one labeled entry w.



Entry w
# ZrCo2Mo

A PBEsol-optimized structure of ZrCo2Mo (meta-GGA SCAN, Alexandria via LeMat-Bulk).

M_tot   0.00 μB/f.u.
D(E_F)   0.97 states/eV/atom
Calculated volume   55.21 Å³/cell
Space group   P2/m

Cell: 2.762 3.555 5.622 Å, 90.00 90.12 90.00°
Fractional positions:
Zr  0.000  0.000  0.000
Co  0.500  0.500  0.277
Co  0.500  0.500  0.723
Mo  0.000  0.000  0.500



Entry x
# ZrCo2Mo

A PBEsol-optimized structure of ZrCo2Mo (meta-GGA SCAN, Alexandria via LeMat-Bulk).

M_tot   3.08 μB/f.u.
D(E_F)   0.73 states/eV/atom
Calculated volume   171.20 Å³/cell
Space group   R3m

Cell: 2.712 2.712 26.873 Å, 90.00 90.00 120.00°
Fractional positions:
Zr  0.000  0.000  0.000
Zr  0.333  0.667  0.667
Zr  0.667  0.333  0.333
Co  0.000  0.000  0.245
Co  0.000  0.000  0.511
Co  0.333  0.667  0.178
Co  0.333  0.667  0.912
Co  0.667  0.333  0.579
Co  0.667  0.333  0.844
Mo  0.000  0.000  0.767
Mo  0.333  0.667  0.433
Mo  0.667  0.333  0.100



Which structure is the most stable? The one labeled entry w.



Entry w
# CoSiSe2N

A PBEsol-optimized structure of CoSiSe2N (meta-GGA SCAN, Alexandria via LeMat-Bulk).

M_tot   0.00 μB/f.u.
D(E_F)   0.43 states/eV/atom
Calculated volume   78.35 Å³/cell
Space group   P4/mmm

Cell: 4.838 4.838 3.348 Å, 90.00 90.00 90.00°
Fractional positions:
Co  0.000  0.000  0.000
Si  0.500  0.500  0.500
Se  0.000  0.500  0.000
Se  0.500  0.000  0.000
N  0.000  0.000  0.500



Entry x
# CoSiSe2N

A PBEsol-optimized structure of CoSiSe2N (meta-GGA SCAN, Alexandria via LeMat-Bulk).

M_tot   2.65 μB/f.u.
D(E_F)   0.36 states/eV/atom
Calculated volume   79.76 Å³/cell
Space group   P4/mmm

Cell: 4.977 4.977 3.221 Å, 90.00 90.00 90.00°
Fractional positions:
Co  0.000  0.000  0.000
Si  0.500  0.500  0.500
Se  0.000  0.500  0.500
Se  0.500  0.000  0.500
N  0.500  0.500  0.000



Which structure is the most stable? The one labeled entry x.